# 1
Computed, not measured: a PBEsol-optimized structure of ScCrPt at the SCAN level of DFT.

SG ... No. 216
Final energy ... -104.58 eV for the cell shown
DOS(E_F) ... 0.642 states/eV per atom
E above lowest polymorph ... 0 meV/atom

```
ScCrPt
1.0
-1.9622 -0.1571 3.9032
-0.8507 -3.8612 1.8648
2.2495 -1.2664 3.5278
Cr Sc Pt
1 1 1
direct
0.5000 0.5000 0.5000 Cr
0.0000 0.0000 0.0000 Sc
0.7500 0.7500 0.7500 Pt
```

***

# 2
Computed, not measured: a PBEsol-optimized structure of CaZrO3 at the SCAN level of DFT.

SG ... No. 148
Final energy ... -154.25 eV for the cell shown
Formation energy without anion corrections ... -348.7 kJ per mole of atoms
DOS(E_F) ... 0.000 states/eV per atom

```
CaZrO3
1.0
-4.8256 1.9580 1.9463
-1.3962 -0.8331 5.3165
0.1901 4.6915 3.6919
Ca O Zr
2 6 2
direct
0.3617 0.3617 0.9148 Ca
0.6383 0.6383 0.0852 Ca
0.7917 0.4451 0.7317 O
0.2083 0.5549 0.2683 O
0.4451 0.0315 0.7317 O
0.5549 0.9685 0.2683 O
0.9685 0.2083 0.2683 O
0.0315 0.7917 0.7317 O
0.8513 0.8513 0.4462 Zr
0.1487 0.1487 0.5538 Zr
```

***

# 3
Computed, not measured: a PBEsol-optimized structure of SrLiPb2 at the SCAN level of DFT.

SG ... No. 216
Final energy ... -177.86 eV for the cell shown
DOS(E_F) ... 0.379 states/eV per atom

```
SrLiPb2
1.0
5.4888 0.0000 0.0000
2.7444 4.7534 0.0000
2.7444 1.5845 4.4816
Sr Pb Li
1 2 1
direct
0.2500 0.2500 0.2500 Sr
0.0000 0.0000 0.0000 Pb
0.7500 0.7500 0.7500 Pb
0.5000 0.5000 0.5000 Li
```

***

# 4
Computed, not measured: a PBEsol-optimized structure of SrMn2Au at the SCAN level of DFT.

SG ... No. 123
Final energy ... -127.68 eV for the cell shown
DOS(E_F) ... 0.805 states/eV per atom

```
SrMn2Au
1.0
4.1956 0.0000 0.0000
0.0000 4.1875 0.0000
0.0000 0.0000 4.4018
Au Sr Mn
1 1 2
direct
0.0000 0.5000 0.5000 Au
0.5000 0.0000 0.5000 Sr
0.5000 0.5000 0.0000 Mn
0.0000 0.0000 0.0000 Mn
```